Entry 1:
The following is a DFT calculation (SCAN) of a PBEsol-optimized structure of SiSeS2N.

Calculated values
Formation energy (no corrections) (meV per atom): 450
Crystal system: tetragonal
E (eV per formula unit): -56.39
N(E_F) (states/eV/atom): 0.4656

Cell lengths 3.327, 4.699, 4.699 Å; angles 90.00, 90.00, 90.00 degrees
Fractional positions:
1 S 0.000 0.000 0.500
2 S 0.000 0.500 0.000
3 Si 0.000 0.000 0.000
4 Se 0.500 0.500 0.500
5 N 0.500 0.000 0.000



Entry 2:
The following is a DFT calculation (SCAN) of a PBEsol-optimized structure of Te2AsP.

Calculated values
Formation energy (no corrections) (meV per atom): 657
Crystal system: cubic
E (eV per formula unit): -102.47
Distance to the lowest polymorph of the same formula (eV per formula unit): 0.28
N(E_F) (states/eV/atom): 0.7314

Cell lengths 4.964, 4.964, 4.964 Å; angles 60.00, 60.00, 60.00 degrees
Fractional positions:
1 P 0.250 0.250 0.250
2 As 0.500 0.500 0.500
3 Te 0.000 0.000 0.000
4 Te 0.750 0.750 0.750



Entry 3:
The following is a DFT calculation (SCAN) of a PBEsol-optimized structure of CoBPt2.

Calculated values
Crystal system: tetragonal
E (eV per formula unit): -165.35
ΔH_f (0 K) (eV per atom): -0.058
N(E_F) (states/eV/atom): 0.4946

Cell lengths 4.885, 5.183, 5.183 Å; angles 77.17, 61.89, 61.89 degrees
Fractional positions:
1 B 0.250 0.500 0.500
2 B 0.500 0.000 0.000
3 Co 0.750 0.500 0.500
4 Co 0.000 0.000 0.000
5 Pt 0.206 0.919 0.419
6 Pt 0.544 0.081 0.581
7 Pt 0.375 0.419 0.081
8 Pt 0.875 0.581 0.919



Entry 4:
The following is a DFT calculation (SCAN) of a PBEsol-optimized structure of Li2SiH.

Calculated values
Crystal system: cubic
E (eV per formula unit): -16.30
N(E_F) (states/eV/atom): 0.3351

Cell lengths 4.153, 4.153, 4.153 Å; angles 60.00, 60.00, 60.00 degrees
Fractional positions:
1 H 0.000 0.000 0.000
2 Si 0.500 0.500 0.500
3 Li 0.250 0.250 0.250
4 Li 0.750 0.750 0.750



Entry 5:
The following is a DFT calculation (SCAN) of a PBEsol-optimized structure of Cu5Ni.

Calculated values
Crystal system: orthorhombic
E (eV per formula unit): -91.96
ΔH_f (0 K) (eV per atom): 0.035
N(E_F) (states/eV/atom): 0.4787

Cell lengths 2.505, 4.105, 6.587 Å; angles 90.00, 100.96, 90.00 degrees
Fractional positions:
1 Cu 0.999 0.000 0.999
2 Cu 0.667 0.000 0.334
3 Cu 0.335 0.000 0.669
4 Cu 0.554 0.500 0.109
5 Cu 0.223 0.500 0.447
6 Ni 0.888 0.500 0.776



Entry 6:
The following is a DFT calculation (SCAN) of a PBEsol-optimized structure of MoOs.

Calculated values
Crystal system: trigonal
E (eV per formula unit): -106.46
ΔH_f (0 K) (eV per atom): 0.151
N(E_F) (states/eV/atom): 0.6333

Cell lengths 2.745, 2.745, 8.990 Å; angles 90.00, 90.00, 120.00 degrees
Fractional positions:
1 Mo 0.667 0.333 0.136
2 Mo 0.333 0.667 0.864
3 Os 0.667 0.333 0.622
4 Os 0.333 0.667 0.378



Entry 7:
The following is a DFT calculation (SCAN) of a PBEsol-optimized structure of YIr2Pt.

Calculated values
Crystal system: tetragonal
E (eV per formula unit): -241.16
ΔH_f (0 K) (eV per atom): -0.231
Distance to the lowest polymorph of the same formula (eV per formula unit): 0.61
N(E_F) (states/eV/atom): 1.1327

Cell lengths 3.381, 3.381, 5.961 Å; angles 90.00, 90.00, 90.00 degrees
Fractional positions:
1 Ir 0.000 0.000 0.782
2 Ir 0.000 0.000 0.218
3 Pt 0.500 0.500 0.000
4 Y 0.500 0.500 0.500



Entry 8:
The following is a DFT calculation (SCAN) of a PBEsol-optimized structure of LaN.

Calculated values
Formation energy (no corrections) (meV per atom): -1580
Crystal system: cubic
E (eV per formula unit): -55.56
N(E_F) (states/eV/atom): 0.0622

Cell lengths 3.711, 3.711, 3.711 Å; angles 60.00, 60.00, 60.00 degrees
Fractional positions:
1 La 0.000 0.000 0.000
2 N 0.500 0.500 0.500



Entry 9:
The following is a DFT calculation (SCAN) of a PBEsol-optimized structure of Nd2Hf2O7.

Calculated values
Formation energy (no corrections) (meV per atom): -3868
Crystal system: cubic
E (eV per formula unit): -298.68
N(E_F) (states/eV/atom): 0.0000

Cell lengths 7.486, 7.486, 7.486 Å; angles 60.00, 60.00, 60.00 degrees
Fractional positions:
1 Nd 0.625 0.625 0.625
2 Nd 0.625 0.625 0.125
3 Nd 0.625 0.125 0.625
4 Nd 0.125 0.625 0.625
5 Hf 0.125 0.125 0.125
6 Hf 0.125 0.125 0.625
7 Hf 0.125 0.625 0.125
8 Hf 0.625 0.125 0.125
9 O 0.792 0.792 0.208
10 O 0.208 0.208 0.792
11 O 0.792 0.208 0.792
12 O 0.208 0.792 0.208
13 O 0.792 0.208 0.208
14 O 0.208 0.792 0.792
15 O 0.458 0.458 0.042
16 O 0.042 0.042 0.458
17 O 0.458 0.042 0.458
18 O 0.042 0.458 0.042
19 O 0.458 0.042 0.042
20 O 0.042 0.458 0.458
21 O 0.750 0.750 0.750
22 O 0.500 0.500 0.500



Entry 10:
The following is a DFT calculation (SCAN) of a PBEsol-optimized structure of GaNi2SCl.

Calculated values
Formation energy (no corrections) (meV per atom): 714
Crystal system: tetragonal
E (eV per formula unit): -62.73
N(E_F) (states/eV/atom): 0.5015

Cell lengths 4.352, 4.604, 4.604 Å; angles 90.00, 90.00, 90.00 degrees
Fractional positions:
1 Ni 0.000 0.000 0.500
2 Ni 0.000 0.500 0.000
3 S 0.500 0.000 0.000
4 Ga 0.000 0.000 0.000
5 Cl 0.500 0.500 0.500



Entry 11:
The following is a DFT calculation (SCAN) of a PBEsol-optimized structure of Mn3NbN.

Calculated values
Formation energy (no corrections) (meV per atom): -210
Crystal system: cubic
E (eV per formula unit): -98.24
N(E_F) (states/eV/atom): 0.3303

Cell lengths 3.767, 3.767, 3.767 Å; angles 90.00, 90.00, 90.00 degrees
Fractional positions:
1 Nb 0.500 0.500 0.500
2 Mn 0.000 0.500 0.000
3 Mn 0.000 0.000 0.500
4 Mn 0.500 0.000 0.000
5 N 0.000 0.000 0.000



Entry 12:
The following is a DFT calculation (SCAN) of a PBEsol-optimized structure of Sc7Sb.

Calculated values
Formation energy (no corrections) (meV per atom): -209
Crystal system: cubic
E (eV per formula unit): -138.60
N(E_F) (states/eV/atom): 1.0372

Cell lengths 6.347, 6.347, 6.347 Å; angles 60.00, 60.00, 60.00 degrees
Fractional positions:
1 Sb 0.000 0.000 0.000
2 Sc 0.000 0.500 0.000
3 Sc 0.500 0.000 0.000
4 Sc 0.000 0.000 0.500
5 Sc 0.500 0.000 0.500
6 Sc 0.000 0.500 0.500
7 Sc 0.500 0.500 0.000
8 Sc 0.500 0.500 0.500



Entry 13:
The following is a DFT calculation (SCAN) of a PBEsol-optimized structure of CaRhAu2.

Calculated values
Crystal system: trigonal
E (eV per formula unit): -181.12
ΔH_f (0 K) (eV per atom): 0.157
N(E_F) (states/eV/atom): 0.9817

Cell lengths 2.973, 2.973, 9.415 Å; angles 80.92, 80.92, 60.00 degrees
Fractional positions:
1 Rh 0.000 0.000 0.000
2 Ca 0.500 0.500 0.500
3 Au 0.254 0.254 0.237
4 Au 0.746 0.746 0.763



Entry 14:
The following is a DFT calculation (SCAN) of a PBEsol-optimized structure of AlHgBr2.

Calculated values
Formation energy (no corrections) (meV per atom): -144
Crystal system: tetragonal
E (eV per formula unit): -115.41
N(E_F) (states/eV/atom): 0.4650

Cell lengths 3.411, 3.411, 8.194 Å; angles 90.00, 90.00, 90.00 degrees
Fractional positions:
1 Hg 0.000 0.000 0.517
2 Br 0.000 0.000 0.940
3 Br 0.500 0.500 0.297
4 Al 0.500 0.500 0.747